No. 1
First-principles (PBE) data for Ba2MnMo after structural relaxation, as listed in Alexandria.

As for the calculated formation energy: 728 meV/atom. The value obtained for the total energy is -5.234 eV/atom. The value obtained for the energy above the lowest structure with this stoichiometry is 0.197 eV/atom.

a b c (Å): 10.0406 10.0406 3.6208
angles (deg): 79.65 79.65 20.44
Closest atoms and distances in Å follow each position.
Atoms (fractional coordinates):
Ba1 0.8983 0.8983 0.1006  2 Mn 3.39, 2 Mo 3.40-3.41, 4 Ba 3.56-3.62
Mn1 0.2500 0.2500 0.2500  4 Mo 2.54
Mo1 0.7500 0.7500 0.7500  4 Mn 2.54
Ba2 0.6017 0.6017 0.3994  2 Mn 3.39, 2 Mo 3.40-3.41, 4 Ba 3.56-3.62

No. 2
First-principles (PBE) data for TcAg2P after structural relaxation, as listed in Alexandria.

As for the calculated formation energy: 430 meV/atom. The value obtained for the total energy is -4.940 eV/atom.

a b c (Å): 5.7601 5.7601 2.9601
angles (deg): 75.64 75.64 127.05
Closest atoms and distances in Å follow each position.
Atoms (fractional coordinates):
Ag1 0.0000 0.5000 0.0000  4 Ag 2.57-2.63
P1 0.0000 0.0000 0.5000  4 Tc 2.57-2.63
Ag2 0.5000 0.0000 0.0000  4 Ag 2.57-2.63
Tc1 0.5000 0.5000 0.5000  4 P 2.57-2.63

No. 3
First-principles (PBE) data for Sm2Fe15Co2C3 after structural relaxation, as listed in Alexandria.

As for the calculated formation energy: -50 meV/atom. The value obtained for the total energy is -8.153 eV/atom.

a b c (Å): 6.5046 6.5046 6.5303
angles (deg): 83.72 83.72 83.63
Closest atoms and distances in Å follow each position.
Atoms (fractional coordinates):
Co1 0.1355 0.6581 0.6573  1 C 1.87
Fe1 0.5012 0.9993 0.9986  9 Fe 2.44-2.67, 1 Co 2.46
C1 0.5014 0.9996 0.5007  1 Co 1.87, 3 Fe 1.89-1.90
C2 0.5003 0.5003 0.9997  4 Fe 1.87-1.91
Fe2 0.6583 0.6583 0.1431  1 C 1.91
Fe3 0.9993 0.5012 0.9986  9 Fe 2.44-2.67, 1 Co 2.46
C3 0.9996 0.5014 0.5007  1 Co 1.87, 3 Fe 1.89-1.90
Co2 0.6581 0.1355 0.6573  1 C 1.87
Sm1 0.3455 0.3455 0.3463  3 C 2.52-2.53
Fe4 0.0001 0.0001 0.4996  8 Fe 2.44-2.67, 2 Co 2.46
Fe5 0.0001 0.2833 0.7164  1 C 1.89
Sm2 0.6526 0.6526 0.6542  3 C 2.51
Fe6 0.2833 0.0001 0.7164  1 C 1.89
Fe7 0.3406 0.3406 0.8596  1 C 1.91
Fe8 0.7173 0.0015 0.2827  1 C 1.89
Fe9 0.0015 0.7173 0.2827  1 C 1.89
Fe10 0.0961 0.0961 0.0968  5 Fe 2.38-2.66
Fe11 0.3448 0.8585 0.3421  1 C 1.90
Fe12 0.8585 0.3448 0.3421  1 C 1.90
Fe13 0.9060 0.9060 0.9047  3 Fe 2.38-2.65, 2 Co 2.64
Fe14 0.2839 0.7159 0.0002  1 C 1.87
Fe15 0.7159 0.2839 0.0002  1 C 1.87

No. 4
First-principles (PBE) data for CrOs2Rh after structural relaxation, as listed in Alexandria.

As for the calculated formation energy: 67 meV/atom. The value obtained for the total energy is -9.791 eV/atom. The value obtained for the energy above the lowest structure with this stoichiometry is 0.032 eV/atom.

a b c (Å): 4.6433 4.6433 4.6737
angles (deg): 79.47 79.47 33.79
Closest atoms and distances in Å follow each position.
Atoms (fractional coordinates):
Os1 0.9932 0.9932 0.0128  3 Cr 2.61-2.72, 6 Os 2.62-2.79, 3 Rh 2.68-2.73
Rh1 0.7500 0.7500 0.7500  6 Os 2.68-2.73, 4 Cr 2.70, 2 Rh 2.70
Cr1 0.2500 0.2500 0.2500  6 Os 2.61-2.72, 4 Rh 2.70, 2 Cr 2.70
Os2 0.5068 0.5068 0.4872  3 Cr 2.61-2.72, 6 Os 2.62-2.79, 3 Rh 2.68-2.73

No. 5
First-principles (PBE) data for NdY2In3Te6 after structural relaxation, as listed in Alexandria.

Its uncorrected formation energy is -0.9867 eV/atom. The value obtained for the total energy is -4.717 eV/atom.

a b c (Å): 7.7114 7.7114 8.5031
angles (deg): 98.70 98.70 119.99
Closest atoms and distances in Å follow each position.
Atoms (fractional coordinates):
Y1 0.3331 0.6669 0.0000  6 Te 3.11-3.12
Te1 0.5851 0.9257 0.7772  2 Y 3.12, 1 Nd 3.19, 3 In 3.39-3.44
In1 0.1646 0.8354 0.5000  6 Te 3.39-3.44
Te2 0.4149 0.0743 0.2228  2 Y 3.12, 1 Nd 3.19, 3 In 3.39-3.44
Te3 0.2671 0.2671 0.7794  2 Y 3.11, 1 Nd 3.18, 3 In 3.38-3.43
Y2 0.6669 0.3331 0.0000  6 Te 3.11-3.12
Te4 0.0743 0.4149 0.2228  2 Y 3.12, 1 Nd 3.19, 3 In 3.39-3.44
Te5 0.9257 0.5851 0.7772  2 Y 3.12, 1 Nd 3.19, 3 In 3.39-3.44
In2 0.5000 0.5000 0.5000  6 Te 3.38-3.43
Te6 0.7329 0.7329 0.2206  2 Y 3.11, 1 Nd 3.18, 3 In 3.38-3.43
Nd1 0.0000 0.0000 0.0000  6 Te 3.18-3.19
In3 0.8354 0.1646 0.5000  6 Te 3.39-3.44

No. 6
First-principles (PBE) data for AlRe3P after structural relaxation, as listed in Alexandria.

As for the calculated formation energy: 768 meV/atom. The value obtained for the total energy is -8.531 eV/atom. The value obtained for the energy above the lowest structure with this stoichiometry is 0.000 eV/atom.

a b c (Å): 4.3682 4.3682 4.3682
angles (deg): 90.00 90.00 90.00
Closest atoms and distances in Å follow each position.
Atoms (fractional coordinates):
Re1 0.5000 0.0000 0.0000  2 P 2.18
Al1 0.5000 0.5000 0.5000  12 Re 3.09
Re2 0.0000 0.0000 0.5000  2 P 2.18
P1 0.0000 0.0000 0.0000  6 Re 2.18
Re3 0.0000 0.5000 0.0000  2 P 2.18

No. 7
First-principles (PBE) data for Cu2AsPt after structural relaxation, as listed in Alexandria.

As for the calculated formation energy: 45 meV/atom. The value obtained for the total energy is -4.676 eV/atom.

a b c (Å): 8.2838 8.2838 8.2838
angles (deg): 20.08 20.08 20.08
Closest atoms and distances in Å follow each position.
Atoms (fractional coordinates):
Pt1 0.2500 0.2500 0.2500  6 Cu 2.67, 6 Pt 2.89
Cu1 0.4979 0.4979 0.4979  3 As 2.59, 3 Pt 2.67, 6 Cu 2.89
Cu2 0.0021 0.0021 0.0021  3 As 2.59, 3 Pt 2.67, 6 Cu 2.89
As1 0.7500 0.7500 0.7500  6 Cu 2.59, 6 As 2.89

No. 8
First-principles (PBE) data for SmTmSO2 after structural relaxation, as listed in Alexandria.

Its uncorrected formation energy is -3.1178 eV/atom. The value obtained for the total energy is -7.765 eV/atom.

a b c (Å): 4.0166 6.3957 7.5300
angles (deg): 109.19 90.00 90.00
Closest atoms and distances in Å follow each position.
Atoms (fractional coordinates):
Tm1 0.7500 0.3213 0.5742  4 O 2.17-2.22
O1 0.7500 0.5231 0.3899  3 Tm 2.18-2.22, 1 Sm 2.36
Sm1 0.7500 0.3054 0.0685  4 O 2.28-2.36
O2 0.2500 0.4836 0.1291  1 Tm 2.17, 3 Sm 2.28-2.31
Sm2 0.2500 0.6946 0.9315  4 O 2.28-2.36
S1 0.2500 0.0409 0.7570  1 Tm 2.79, 1 Sm 2.92
S2 0.7500 0.9591 0.2430  1 Tm 2.79, 1 Sm 2.92
Tm2 0.2500 0.6787 0.4258  4 O 2.17-2.22
O3 0.2500 0.4769 0.6101  3 Tm 2.18-2.22, 1 Sm 2.36
O4 0.7500 0.5164 0.8709  1 Tm 2.17, 3 Sm 2.28-2.31

No. 9
First-principles (PBE) data for KAg2P after structural relaxation, as listed in Alexandria.

As for the calculated formation energy: 313 meV/atom. The value obtained for the total energy is -2.739 eV/atom.

a b c (Å): 2.9289 4.0666 7.6460
angles (deg): 90.00 90.00 90.00
Closest atoms and distances in Å follow each position.
Atoms (fractional coordinates):
Ag1 0.0000 0.0000 0.5669  3 Ag 2.80-2.93, 4 P 2.87
Ag2 0.0000 0.0000 0.9331  3 Ag 2.80-2.93, 4 P 2.87
P1 0.5000 0.5000 0.7500  8 Ag 2.87, 2 P 2.93
K1 0.5000 0.5000 0.2500  2 K 2.93

No. 10
First-principles (PBE) data for Sr2BiBr after structural relaxation, as listed in Alexandria.

Its uncorrected formation energy is -1.1756 eV/atom. The value obtained for the total energy is -3.405 eV/atom.

a b c (Å): 4.0595 5.8246 5.8246
angles (deg): 90.00 90.00 90.00
Closest atoms and distances in Å follow each position.
Atoms (fractional coordinates):
Br1 0.5000 0.0000 0.0000  8 Sr 3.55
Sr1 0.0000 0.5000 0.0000  4 Br 3.55, 4 Bi 3.55
Sr2 0.0000 0.0000 0.5000  4 Br 3.55, 4 Bi 3.55
Bi1 0.5000 0.5000 0.5000  8 Sr 3.55

No. 11
First-principles (PBE) data for CsPdSe after structural relaxation, as listed in Alexandria.

Its uncorrected formation energy is -0.7342 eV/atom. The value obtained for the total energy is -3.911 eV/atom.

a b c (Å): 4.5274 6.9093 7.4556
angles (deg): 71.06 66.08 83.14
Closest atoms and distances in Å follow each position.
Atoms (fractional coordinates):
Se1 0.1376 0.2787 0.7252  3 Pd 2.47-2.59
Pd1 0.2949 0.6011 0.4066  3 Se 2.47-2.59, 1 Pd 2.76
Cs1 0.6642 0.8024 0.8024  4 Pd 3.57-3.92, 5 Se 3.85-3.90
Cs2 0.3313 0.1944 0.2021  4 Pd 3.57-3.92, 5 Se 3.85-3.90
Se2 0.8579 0.7181 0.2793  3 Pd 2.47-2.59
Pd2 0.7007 0.3957 0.5979  3 Se 2.47-2.59, 1 Pd 2.76

No. 12
First-principles (PBE) data for TcRhS2F after structural relaxation, as listed in Alexandria.

Its uncorrected formation energy is 0.5883 eV/atom. The value obtained for the total energy is -4.980 eV/atom.

a b c (Å): 4.4210 4.4210 5.5179
angles (deg): 90.00 90.00 90.00
Closest atoms and distances in Å follow each position.
Atoms (fractional coordinates):
S1 0.5000 0.0000 0.0000  2 Rh 2.21
F1 0.5000 0.5000 0.5000  4 Tc 3.13
Rh1 0.0000 0.0000 0.0000  4 S 2.21
S2 0.0000 0.5000 0.0000  2 Rh 2.21
Tc1 0.0000 0.0000 0.5000  2 Rh 2.76

No. 13
First-principles (PBE) data for Fe2CuHRh after structural relaxation, as listed in Alexandria.

The value obtained for the total energy is -6.331 eV/atom. The value obtained for the energy above the lowest structure with this stoichiometry is 0.000 eV/atom.

a b c (Å): 3.7375 3.7375 3.8199
angles (deg): 90.00 90.00 90.00
Closest atoms and distances in Å follow each position.
Atoms (fractional coordinates):
Rh1 0.0000 0.0000 0.5000  2 H 1.91
Fe1 0.5000 0.0000 0.0000  2 H 1.87
H1 0.0000 0.0000 0.0000  4 Fe 1.87, 2 Rh 1.91
Fe2 0.0000 0.5000 0.0000  2 H 1.87
Cu1 0.5000 0.5000 0.5000  4 Rh 2.64, 8 Fe 2.67

No. 14
First-principles (PBE) data for Li2NpAgCl8 after structural relaxation, as listed in Alexandria.

Its uncorrected formation energy is -1.3887 eV/atom. The value obtained for the total energy is -4.255 eV/atom.

a b c (Å): 6.5263 6.9688 9.0233
angles (deg): 68.24 95.43 109.37
Closest atoms and distances in Å follow each position.
Atoms (fractional coordinates):
Cl1 0.0776 0.7897 0.8531  1 Np 2.49
Np1 0.0000 0.0000 0.0000  6 Cl 2.49-2.57
Cl2 0.3847 0.2663 0.9327  1 Li 2.45, 1 Np 2.55
Cl3 0.9224 0.2103 0.1469  1 Np 2.49
Cl4 0.8749 0.2351 0.7372  1 Li 2.47, 1 Np 2.57
Cl5 0.1251 0.7649 0.2628  1 Li 2.47, 1 Np 2.57
Cl6 0.6153 0.7337 0.0673  1 Li 2.45, 1 Np 2.55
Li1 0.5547 0.3616 0.6730  4 Cl 2.37-2.47
Ag1 0.0000 0.0000 0.5000  2 Cl 2.43
Cl7 0.6345 0.7427 0.5362  2 Li 2.37, 1 Ag 2.43
Li2 0.4453 0.6384 0.3270  4 Cl 2.37-2.47
Cl8 0.3655 0.2573 0.4638  2 Li 2.37, 1 Ag 2.43

No. 15
First-principles (PBE) data for Li2GaSnS4 after structural relaxation, as listed in Alexandria.

Its uncorrected formation energy is -0.8421 eV/atom. The value obtained for the total energy is -4.263 eV/atom.

a b c (Å): 6.3165 6.8936 8.3114
angles (deg): 90.00 90.00 90.00
Closest atoms and distances in Å follow each position.
Atoms (fractional coordinates):
S1 0.8807 0.3311 0.7199  1 Ga 2.29, 2 Li 2.46-2.48
S2 0.8807 0.3311 0.2801  1 Ga 2.29, 2 Li 2.46-2.48
Li1 0.9938 0.6740 0.2507  4 S 2.46-2.48
S3 0.3807 0.6689 0.2199  1 Ga 2.29, 2 Li 2.46-2.48
S4 0.8688 0.8248 0.0000  1 Ga 2.31, 2 Li 2.46, 1 Sn 2.55
Li2 0.4938 0.3260 0.7507  4 S 2.46-2.48
Ga1 0.0025 0.1637 0.5000  4 S 2.29-2.31
S5 0.3688 0.1752 0.5000  1 Ga 2.31, 2 Li 2.46, 1 Sn 2.55
S6 0.8943 0.8448 0.5000  1 Ga 2.30, 2 Li 2.46
Li3 0.9938 0.6740 0.7493  4 S 2.46-2.48
Sn1 0.4855 0.8214 0.5000  4 S 2.55-2.64
Sn2 0.9855 0.1786 0.0000  4 S 2.55-2.64
S7 0.3943 0.1552 0.0000  1 Ga 2.30, 2 Li 2.46
Li4 0.4938 0.3260 0.2493  4 S 2.46-2.48
S8 0.3807 0.6689 0.7801  1 Ga 2.29, 2 Li 2.46-2.48
Ga2 0.5025 0.8363 0.0000  4 S 2.29-2.31

No. 16
First-principles (PBE) data for CrHg2As after structural relaxation, as listed in Alexandria.

As for the calculated formation energy: 370 meV/atom. The value obtained for the total energy is -3.349 eV/atom.

a b c (Å): 5.9648 5.9648 5.9648
angles (deg): 149.64 128.48 60.98
Closest atoms and distances in Å follow each position.
Atoms (fractional coordinates):
Cr1 0.2500 0.7500 0.5000  4 Hg 2.89, 4 As 3.03, 2 Cr 3.12
As1 0.7500 0.2500 0.5000  4 Cr 3.03, 2 As 3.12, 4 Hg 3.13
Hg1 0.4863 0.4863 0.0000  2 Cr 2.89, 6 Hg 3.04-3.12, 2 As 3.13
Hg2 0.0137 0.0137 0.0000  2 Cr 2.89, 6 Hg 3.04-3.12, 2 As 3.13

No. 17
First-principles (PBE) data for K2NbAuSe4 after structural relaxation, as listed in Alexandria.

Its uncorrected formation energy is -0.8817 eV/atom. The value obtained for the total energy is -4.567 eV/atom.

a b c (Å): 5.9562 7.5415 12.6287
angles (deg): 84.66 76.36 66.74
Closest atoms and distances in Å follow each position.
Atoms (fractional coordinates):
Se1 0.1888 0.2893 0.3821  1 Nb 2.46, 1 Au 2.63
Se2 0.4291 0.7107 0.3821  1 Nb 2.46, 1 Au 2.63
Se3 0.5612 0.2107 0.1179  1 Nb 2.46, 1 Au 2.63
K1 0.9325 0.5000 0.1350  8 Se 3.48-3.74
Se4 0.3209 0.7893 0.1179  1 Nb 2.46, 1 Au 2.63
Au1 0.7500 0.5000 0.5000  4 Se 2.63
Se5 0.8898 0.7893 0.8821  1 Nb 2.46, 1 Au 2.63
Nb1 0.5000 0.0000 0.0000  4 Se 2.46
K2 0.8175 0.0000 0.3650  8 Se 3.48-3.74
Au2 0.0000 0.0000 0.0000  4 Se 2.63
K3 0.5675 0.5000 0.8650  8 Se 3.48-3.74
K4 0.1825 0.0000 0.6350  8 Se 3.48-3.74
Se6 0.2281 0.2107 0.8821  1 Nb 2.46, 1 Au 2.63
Se7 0.5219 0.2893 0.6179  1 Nb 2.46, 1 Au 2.63
Nb2 0.2500 0.5000 0.5000  4 Se 2.46
Se8 0.8602 0.7107 0.6179  1 Nb 2.46, 1 Au 2.63

No. 18
First-principles (PBE) data for TbH4Rh after structural relaxation, as listed in Alexandria.

The value obtained for the total energy is -4.709 eV/atom.

a b c (Å): 4.4299 4.4301 3.8150
angles (deg): 64.90 64.90 62.20
Closest atoms and distances in Å follow each position.
Atoms (fractional coordinates):
H1 0.5629 0.0896 0.6716  1 Rh 1.67
H2 0.4397 0.9050 0.3247  1 Rh 1.67
H3 0.0936 0.5589 0.6715  1 Rh 1.67
Rh1 0.0013 0.9973 0.4982  4 H 1.67
H4 0.9091 0.4356 0.3247  1 Rh 1.67
Tb1 0.5013 0.4973 0.9981  12 H 2.46-2.48

No. 19
First-principles (PBE) data for CsInFe2I8 after structural relaxation, as listed in Alexandria.

Its uncorrected formation energy is -0.4660 eV/atom. The value obtained for the total energy is -3.209 eV/atom.

a b c (Å): 7.5988 7.5988 11.6620
angles (deg): 83.47 83.47 68.86
Closest atoms and distances in Å follow each position.
Atoms (fractional coordinates):
I1 0.7238 0.7238 0.0399  1 Fe 2.54
I2 0.2762 0.2762 0.9601  1 Fe 2.54
I3 0.7698 0.2893 0.7717  1 Fe 2.58
I4 0.2302 0.7107 0.2283  1 Fe 2.58
Fe1 0.5941 0.5941 0.2278  4 I 2.54-2.58
Cs1 0.0000 0.0000 0.5000  6 I 3.93-4.23
I5 0.2893 0.7698 0.7717  1 Fe 2.58
I6 0.7107 0.2302 0.2283  1 Fe 2.58
I7 0.6843 0.6843 0.4105  1 Fe 2.55
Fe2 0.4059 0.4059 0.7722  4 I 2.54-2.58
In1 0.0000 0.0000 0.0000  6 I 3.43-3.45
I8 0.3157 0.3157 0.5895  1 Fe 2.55

No. 20
First-principles (PBE) data for K2OsF after structural relaxation, as listed in Alexandria.

Its uncorrected formation energy is 0.1839 eV/atom. The value obtained for the total energy is -3.640 eV/atom. The value obtained for the energy above the lowest structure with this stoichiometry is 0.000 eV/atom.

a b c (Å): 7.7556 7.7556 6.9304
angles (deg): 55.98 55.98 90.00
Closest atoms and distances in Å follow each position.
Atoms (fractional coordinates):
Os1 0.7500 0.2500 0.5000  4 K 3.48
K1 0.3750 0.4719 0.7500  2 F 2.51
Os2 0.0000 0.0000 0.0000  4 K 3.48
F1 0.2500 0.7500 0.5000  4 K 2.51
F2 0.5000 0.5000 0.0000  4 K 2.51
K2 0.5281 0.1250 0.2500  2 F 2.51
K3 0.2219 0.6250 0.2500  2 F 2.51
K4 0.8750 0.7781 0.7500  2 F 2.51

no.,magnetic moment (μB per cell),theoretical density (kg/m3)
1,1.3,5638
2,0.6,8788
3,32.8,7901
4,0.0,16159
5,0.0,5697
6,0.0,12284
7,0.0,11244
8,0.0,6969
9,0.0,5211
10,0.0,5596
11,0.0,5243
12,5.2,4373
13,6.4,8687
14,2.0,2968
15,0.0,3034
16,3.9,10534
17,0.0,4485
18,0.0,7674
19,10.0,3670
20,6.0,3745